# 1
VASP calculation (PBE) on crystalline Pr2SnPb at its relaxed geometry.

Its density of states at the Fermi level is 3.27 states/eV/f.u. As for the formation energy: -679 meV per atom. As for the calculated volume: 31.67 Å³ per atom. The calculation puts the energy above the most stable polymorph in this dataset at 0 meV per atom.

The space group is P2_1/m (No. 11) and the conventional cell measures 6.426, 4.491 and 9.261 Å, with angles of 90.00, 108.59 and 90.00 degrees. The inequivalent atoms are Pr at (0.196, 0.250, 0.430), Pr at (0.292, 0.750, 0.064), Sn at (0.115, 0.250, 0.795) and Pb at (0.391, 0.750, 0.704).

***

# 2
VASP calculation (PBE) on crystalline Pr5Sn2Pb2 at its relaxed geometry.

Its density of states at the Fermi level is 8.37 states/eV/f.u. As for the formation energy: -440 meV per atom. As for the calculated volume: 33.93 Å³ per atom. The calculation puts the energy above the most stable polymorph in this dataset at 237 meV per atom.

The space group is Ima2 (No. 46) and the conventional cell measures 17.545, 8.425 and 8.263 Å, with angles of 90.00, 90.00 and 90.00 degrees. The inequivalent atoms are Pr at (0.061, 0.180, 0.000), Pr at (0.158, 0.678, 0.856), Pr at (0.250, 0.150, 0.698), Sn at (0.083, 0.538, 0.180), Pb at (0.000, 0.000, 0.320) and Pb at (0.250, 0.506, 0.550).

***

# 3
VASP calculation (PBE) on crystalline PrSn2Pb at its relaxed geometry.

Its density of states at the Fermi level is 3.81 states/eV/f.u. As for the formation energy: 280 meV per atom. As for the calculated volume: 46.36 Å³ per atom. The calculation puts the energy above the most stable polymorph in this dataset at 738 meV per atom.

The space group is R-3m (No. 166, hexagonal axes) and the conventional cell measures 5.2227, 5.2227 and 23.5529 Å, with angles of 90.00, 90.00 and 120.00 degrees. The inequivalent atoms are Pr at (0.0000, 0.0000, 0.0000), Sn at (0.0000, 0.0000, 0.3783) and Pb at (0.0000, 0.0000, 0.5000).

***

# 4
VASP calculation (PBE) on crystalline Pr4Sn3Pb at its relaxed geometry.

Its density of states at the Fermi level is 6.82 states/eV/f.u. As for the formation energy: -732 meV per atom. As for the calculated volume: 31.26 Å³ per atom.

The space group is Pmm2 (No. 25) and the conventional cell measures 4.457, 4.716 and 11.896 Å, with angles of 90.00, 90.00 and 90.00 degrees. The inequivalent atoms are Pr at (0.000, 0.000, 0.000), Pr at (0.000, 0.500, 0.495), Pr at (0.500, 0.000, 0.727), Pr at (0.500, 0.500, 0.227), Sn at (0.000, 0.000, 0.274), Sn at (0.500, 0.000, 0.451), Sn at (0.500, 0.500, 0.954) and Pb at (0.000, 0.500, 0.771).

***

# 5
VASP calculation (PBE) on crystalline Pr2Sn4Pb at its relaxed geometry.

Its density of states at the Fermi level is 4.02 states/eV/f.u. As for the formation energy: -429 meV per atom. As for the calculated volume: 30.62 Å³ per atom. The calculation puts the energy above the most stable polymorph in this dataset at 0 meV per atom.

The space group is C2/m (No. 12) and the conventional cell measures 9.390, 9.416 and 6.730 Å, with angles of 90.00, 133.91 and 90.00 degrees. The inequivalent atoms are Pr at (0.250, 0.250, 0.000), Sn at (0.000, 0.000, 0.500), Sn at (0.000, 0.500, 0.500), Sn at (0.250, 0.250, 0.500) and Pb at (0.000, 0.000, 0.000).

***

# 6
VASP calculation (PBE) on crystalline Pr2SnPb2 at its relaxed geometry.

Its density of states at the Fermi level is 1.86 states/eV/f.u. As for the formation energy: -438 meV per atom. As for the calculated volume: 31.82 Å³ per atom. The calculation puts the energy above the most stable polymorph in this dataset at 51 meV per atom.

The space group is P6_3/mmc (No. 194) and the conventional cell measures 5.2320, 5.2320 and 13.4225 Å, with angles of 90.00, 90.00 and 120.00 degrees. The inequivalent atoms are Pr at (0.3333, 0.6667, 0.1042), Sn at (0.0000, 0.0000, 0.2500), Pb at (0.0000, 0.0000, 0.0000) and Pb at (0.3333, 0.6667, 0.7500).

***

# 7
VASP calculation (PBE) on crystalline PrSnPb at its relaxed geometry.

Its density of states at the Fermi level is 2.53 states/eV/f.u. As for the formation energy: -365 meV per atom. As for the calculated volume: 30.09 Å³ per atom. The calculation puts the energy above the most stable polymorph in this dataset at 188 meV per atom.

The space group is P3m1 (No. 156) and the conventional cell measures 5.4576, 5.4576 and 3.4989 Å, with angles of 90.00, 90.00 and 120.00 degrees. The inequivalent atoms are Pr at (0.0000, 0.0000, 0.0000), Sn at (0.6667, 0.3333, 0.4945) and Pb at (0.3333, 0.6667, 0.5038).

***

# 8
VASP calculation (PBE) on crystalline Pr2Sn4Pb at its relaxed geometry.

Its density of states at the Fermi level is 4.19 states/eV/f.u. As for the formation energy: -399 meV per atom. As for the calculated volume: 30.38 Å³ per atom. The calculation puts the energy above the most stable polymorph in this dataset at 30 meV per atom.

The space group is P-4m2 (No. 115) and the conventional cell measures 4.534, 4.534 and 10.343 Å, with angles of 90.00, 90.00 and 90.00 degrees. The inequivalent atoms are Pr at (0.000, 0.500, 0.245), Sn at (0.000, 0.000, 0.000), Sn at (0.000, 0.500, 0.708), Sn at (0.500, 0.500, 0.000) and Pb at (0.000, 0.000, 0.500).

***

# 9
VASP calculation (PBE) on crystalline PrSn2Pb at its relaxed geometry.

Its density of states at the Fermi level is 2.29 states/eV/f.u. As for the formation energy: -458 meV per atom. As for the calculated volume: 28.50 Å³ per atom. The calculation puts the energy above the most stable polymorph in this dataset at 0 meV per atom.

The space group is P4/mmm (No. 123) and the conventional cell measures 4.886, 4.886 and 4.775 Å, with angles of 90.00, 90.00 and 90.00 degrees. The inequivalent atoms are Pr at (0.000, 0.000, 0.000), Sn at (0.000, 0.500, 0.500) and Pb at (0.500, 0.500, 0.000).

***

# 10
VASP calculation (PBE) on crystalline Pr9Sn2Pb at its relaxed geometry.

Its density of states at the Fermi level is 12.90 states/eV/f.u. As for the formation energy: -417 meV per atom. As for the calculated volume: 31.37 Å³ per atom.

The space group is P4/mmm (No. 123) and the conventional cell measures 5.006, 5.006 and 15.022 Å, with angles of 90.00, 90.00 and 90.00 degrees. The inequivalent atoms are Pr at (0.000, 0.000, 0.000), Pr at (0.000, 0.000, 0.335), Pr at (0.000, 0.500, 0.169), Pr at (0.000, 0.500, 0.500), Sn at (0.500, 0.500, 0.334) and Pb at (0.500, 0.500, 0.000).

***

# 11
VASP calculation (PBE) on crystalline Pr3SnPb at its relaxed geometry.

Its density of states at the Fermi level is 3.83 states/eV/f.u. As for the formation energy: -558 meV per atom. As for the calculated volume: 33.30 Å³ per atom.

The space group is Cmcm (No. 63) and the conventional cell measures 5.091, 19.361 and 6.755 Å, with angles of 90.00, 90.00 and 90.00 degrees. The inequivalent atoms are Pr at (0.000, 0.000, 0.000), Pr at (0.000, 0.188, 0.250), Pr at (0.000, 0.397, 0.250), Sn at (0.000, 0.425, 0.750) and Pb at (0.000, 0.197, 0.750).

***

# 12
VASP calculation (PBE) on crystalline Pr4Sn5Pb at its relaxed geometry.

Its density of states at the Fermi level is 5.69 states/eV/f.u. As for the formation energy: -598 meV per atom. As for the calculated volume: 30.38 Å³ per atom.

The space group is Immm (No. 71) and the conventional cell measures 4.622, 11.179 and 11.761 Å, with angles of 90.00, 90.00 and 90.00 degrees. The inequivalent atoms are Pr at (0.000, 0.000, 0.186), Pr at (0.000, 0.215, 0.500), Sn at (0.000, 0.317, 0.202), Sn at (0.000, 0.500, 0.000) and Pb at (0.000, 0.500, 0.500).

***

Q: Which value of calculated volume does entry 2 give?
A: 33.93 Å³ per atom

***

Q: The highest calculated volume belongs to which entry?
A: number 3